VASP calculation (GGA-PBE) on an optimized crystal structure of Li2CeCd6.

a b c (Å): 8.745 8.745 3.088
angles (deg): 90.00 90.00 120.00
Positions (direct):
Li (0.333, 0.667, 0.000)
Li (0.667, 0.333, 0.000)
Ce (0.000, 0.000, 0.000)
Cd (0.000, 0.339, 0.500)
Cd (0.000, 0.661, 0.500)
Cd (0.339, 0.000, 0.500)
Cd (0.339, 0.339, 0.500)
Cd (0.661, 0.000, 0.500)
Cd (0.661, 0.661, 0.500)

Properties
- Energy of formation: -179 meV per atom
- Spin magnetization: 0.9 μB per formula unit
- DOS(E_F): 6.59 states/eV per cell
- DFT total energy: -1.874 eV/atom
- Distance to the lowest polymorph of the same formula: 0 meV per atom